# 1
Compound: Li3PuTl4
Source: the Alexandria database
Functional: PBE
Structure: optimized geometry

a b c (Å): 5.034 5.034 9.026
angles (deg): 73.81 73.81 60.00
Positions (direct):
Tl: 0.872 0.872 0.385
Tl: 0.383 0.383 0.850
Tl: 0.128 0.128 0.615
Tl: 0.617 0.617 0.150
Pu: 0.000 0.000 0.000
Li: 0.248 0.248 0.256
Li: 0.752 0.752 0.744
Li: 0.500 0.500 0.500

## Properties
Energy relative to the elements = -0.138 eV/atom
Density of states at the Fermi level = 13.30 states/eV/f.u.
Size of the total moment = 0.724 μB/atom

---

# 2
Compound: Tl2HgOs
Source: the Alexandria database
Functional: PBE
Structure: optimized geometry

a b c (Å): 3.211 3.211 8.939
angles (deg): 90.00 90.00 90.00
Positions (direct):
Hg: 0.000 0.000 0.549
Os: 0.500 0.500 0.743
Tl: 0.000 0.000 0.948
Tl: 0.500 0.500 0.260

## Properties
Energy relative to the lowest polymorph listed for this composition = 54.3 kJ/mol of formula units
Energy relative to the elements = 0.738 eV/atom
Density of states at the Fermi level = 3.93 states/eV/f.u.
Size of the total moment = 0.000 μB/atom

---

# 3
Compound: TlHg3
Source: the Alexandria database
Functional: PBE
Structure: optimized geometry

a b c (Å): 5.038 5.038 9.608
angles (deg): 105.20 105.20 90.00
Positions (direct):
Tl: 0.375 0.375 0.750
Tl: 0.625 0.625 0.250
Hg: 0.000 0.500 0.000
Hg: 0.500 0.000 0.000
Hg: 0.250 0.750 0.500
Hg: 0.750 0.250 0.500
Hg: 0.125 0.125 0.249
Hg: 0.875 0.875 0.751

## Properties
Energy relative to the elements = -0.026 eV/atom
Density of states at the Fermi level = 1.15 states/eV/f.u.
Size of the total moment = 0.000 μB/atom

---

# 4
Compound: Sm3TlGa
Source: the Alexandria database
Functional: PBE
Structure: optimized geometry

a b c (Å): 6.056 6.056 9.062
angles (deg): 102.82 102.82 109.71
Positions (direct):
Sm: 0.193 0.693 0.884
Sm: 0.807 0.307 0.116
Sm: 0.204 0.084 0.287
Sm: 0.416 0.296 0.713
Sm: 0.796 0.916 0.713
Sm: 0.584 0.704 0.287
Tl: 0.790 0.290 0.500
Tl: 0.210 0.710 0.500
Ga: 0.750 0.750 0.000
Ga: 0.250 0.250 0.000

## Properties
Energy relative to the lowest polymorph listed for this composition = 0.0 kJ/mol of formula units
Energy relative to the elements = -0.342 eV/atom
Density of states at the Fermi level = 5.42 states/eV/f.u.
Size of the total moment = 0.000 μB/atom

---

# 5
Compound: CuAgPF2
Source: the Alexandria database
Functional: PBE
Structure: optimized geometry

a b c (Å): 4.060 5.197 4.060
angles (deg): 90.00 90.00 90.00
Positions (direct):
P: 0.000 0.500 0.000
Cu: 0.500 0.500 0.500
Ag: 0.000 0.000 0.000
F: 0.000 0.000 0.500
F: 0.500 0.000 0.000

## Properties
Density of states at the Fermi level = 2.75 states/eV/f.u.
Size of the total moment = 0.000 μB/atom
Formation energy from raw total energies = -0.6 eV per formula unit

---

# 6
Compound: CaSi2Ir
Source: the Alexandria database
Functional: PBE
Structure: optimized geometry

a b c (Å): 5.593 5.593 5.593
angles (deg): 149.66 122.37 66.52
Positions (direct):
Ca: 0.750 0.250 0.500
Ir: 0.250 0.750 0.500
Si: 0.041 0.041 0.000
Si: 0.459 0.459 0.000

## Properties
Density of states at the Fermi level = 2.94 states/eV/f.u.
Size of the total moment = 0.000 μB/atom
Formation energy from raw total energies = -0.9 eV per formula unit

---

# 7
Compound: CaYTe2I
Source: the Alexandria database
Functional: PBE
Structure: optimized geometry

a b c (Å): 5.927 5.927 5.803
angles (deg): 90.00 90.00 90.00
Positions (direct):
I: 0.000 0.000 0.500
Y: 0.000 0.000 0.000
Ca: 0.500 0.500 0.500
Te: 0.000 0.500 0.000
Te: 0.500 0.000 0.000

## Properties
Energy relative to the lowest polymorph listed for this composition = 0.0 kJ/mol of formula units
Density of states at the Fermi level = 0.19 states/eV/f.u.
Size of the total moment = 0.000 μB/atom
Formation energy from raw total energies = -4.8 eV per formula unit

---

# 8
Compound: PrB4Rh5
Source: the Alexandria database
Functional: PBE
Structure: optimized geometry

a b c (Å): 5.326 5.999 8.723
angles (deg): 90.00 90.00 90.00
Positions (direct):
Pr: 0.778 0.000 0.000
Pr: 0.222 0.500 0.500
B: 0.018 0.000 0.705
B: 0.416 0.659 0.000
B: 0.416 0.341 0.000
B: 0.018 0.000 0.295
B: 0.982 0.500 0.205
B: 0.584 0.841 0.500
B: 0.584 0.159 0.500
B: 0.982 0.500 0.795
Rh: 0.253 0.751 0.802
Rh: 0.253 0.249 0.802
Rh: 0.764 0.500 0.000
Rh: 0.253 0.751 0.198
Rh: 0.253 0.249 0.198
Rh: 0.747 0.749 0.302
Rh: 0.747 0.251 0.302
Rh: 0.236 0.000 0.500
Rh: 0.747 0.251 0.698
Rh: 0.747 0.749 0.698

## Properties
Energy relative to the elements = -0.276 eV/atom
Density of states at the Fermi level = 2.37 states/eV/f.u.
Size of the total moment = 0.000 μB/atom

---

# 9
Compound: CdAsRu2
Source: the Alexandria database
Functional: PBE
Structure: optimized geometry

a b c (Å): 3.057 4.895 4.368
angles (deg): 90.00 90.00 90.00
Positions (direct):
Ru: 0.000 0.000 0.000
Ru: 0.500 0.500 0.000
As: 0.500 0.000 0.500
Cd: 0.000 0.500 0.500

## Properties
Energy relative to the lowest polymorph listed for this composition = 170.4 kJ/mol of formula units
Energy relative to the elements = 0.510 eV/atom
Density of states at the Fermi level = 4.74 states/eV/f.u.
Size of the total moment = 0.000 μB/atom

---

# 10
Compound: NaBr2O
Source: the Alexandria database
Functional: PBE
Structure: optimized geometry

a b c (Å): 5.847 5.847 7.744
angles (deg): 67.82 67.82 90.00
Positions (direct):
Na: 0.000 0.000 0.000
Na: 0.750 0.250 0.500
O: 0.500 0.500 0.000
O: 0.250 0.750 0.500
Br: 0.497 0.125 0.250
Br: 0.253 0.625 0.250
Br: 0.375 0.503 0.750
Br: 0.875 0.747 0.750

## Properties
Energy relative to the lowest polymorph listed for this composition = 17.0 kJ/mol of formula units
Density of states at the Fermi level = 0.33 states/eV/f.u.
Size of the total moment = 0.000 μB/atom
Formation energy from raw total energies = -0.8 eV per formula unit

---

# 11
Compound: Ce2CdHg3
Source: the Alexandria database
Functional: PBE
Structure: optimized geometry

a b c (Å): 6.101 6.101 9.440
angles (deg): 101.32 101.32 113.13
Positions (direct):
Ce: 0.250 0.750 0.500
Ce: 0.755 0.755 0.000
Ce: 0.750 0.250 0.500
Ce: 0.245 0.245 0.000
Cd: 0.666 0.666 0.333
Cd: 0.334 0.334 0.667
Hg: 0.337 0.831 0.168
Hg: 0.169 0.663 0.832
Hg: 0.663 0.169 0.832
Hg: 0.831 0.337 0.168
Hg: 0.168 0.168 0.336
Hg: 0.832 0.832 0.664

## Properties
Energy relative to the lowest polymorph listed for this composition = 0.0 kJ/mol of formula units
Energy relative to the elements = -0.340 eV/atom
Density of states at the Fermi level = 11.70 states/eV/f.u.
Size of the total moment = 0.450 μB/atom